Version P
Here is TcAuSe2 after structural relaxation from Alexandria. Energies are from GGA-PBE.

Geometry as POSCAR:
```
TcAuSe2
1.0
-1.509 2.036 6.370
1.509 -2.036 6.370
1.509 2.036 -6.370
Tc Au Se
1 1 2
Cartesian
0.000 0.000 0.000
1.509 0.000 2.683
0.000 0.000 7.111
0.000 2.036 4.418
```

Summary:
* symmetry: No. 44

=====

Version Q
Here is TcAuSe2 after structural relaxation from Alexandria. Energies are from GGA-PBE.

Geometry as POSCAR:
```
TcAuSe2
1.0
2.965 0.000 0.000
0.000 2.965 0.000
0.000 0.000 9.242
Tc Au Se
1 1 2
Cartesian
0.000 0.000 0.000
0.000 0.000 4.621
1.483 1.483 1.591
1.483 1.483 7.651
```

Summary:
* symmetry: No. 123

=====

Version R
Here is TcAuSe2 after structural relaxation from Alexandria. Energies are from GGA-PBE.

Geometry as POSCAR:
```
TcAuSe2
1.0
3.256 -3.260 0.000
3.256 3.260 0.000
0.000 0.000 3.314
Tc Au Se
1 1 2
Cartesian
0.000 0.000 0.000
3.256 0.000 0.000
1.628 1.630 1.657
1.628 -1.630 1.657
```

Summary:
* symmetry: No. 65

=====

Version S
Here is TcAuSe2 after structural relaxation from Alexandria. Energies are from GGA-PBE.

Geometry as POSCAR:
```
TcAuSe2
1.0
3.519 -1.585 0.000
3.519 1.585 0.000
-2.502 0.000 7.709
Tc Au Se
1 1 2
Cartesian
0.000 0.000 0.000
2.268 0.000 3.855
2.103 0.000 1.379
2.432 0.000 6.330
```

Summary:
* symmetry: No. 12

=====

Which one sits at the top of the stability order? version S does.

=====

Version P
Here is TcAuSe2 after structural relaxation from Alexandria. Energies are from GGA-PBE.

Geometry as POSCAR:
```
TcAuSe2
1.0
3.364 0.000 0.000
0.000 3.707 0.000
-1.629 0.000 7.140
Tc Au Se
1 1 2
Cartesian
0.000 0.000 0.000
1.682 1.854 1.372
0.000 0.000 2.455
1.735 1.854 5.601
```

Summary:
* symmetry: No. 6

=====

Version Q
Here is TcAuSe2 after structural relaxation from Alexandria. Energies are from GGA-PBE.

Geometry as POSCAR:
```
TcAuSe2
1.0
-2.551 2.551 6.323
2.551 -2.551 6.323
2.551 2.551 -6.323
Tc Au Se
2 2 4
Cartesian
2.551 1.275 1.581
0.000 1.275 4.742
2.551 -1.275 4.742
0.000 3.826 1.581
2.551 1.275 -0.933
0.000 1.275 2.229
2.551 1.275 4.095
0.000 1.275 7.256
```

Summary:
* symmetry: No. 141

=====

Version R
Here is TcAuSe2 after structural relaxation from Alexandria. Energies are from GGA-PBE.

Geometry as POSCAR:
```
TcAuSe2
1.0
1.410 0.814 12.333
-1.410 0.814 12.333
0.000 -1.628 12.333
Tc Au Se
1 1 2
Cartesian
0.000 0.000 0.000
0.000 0.000 18.500
0.000 0.000 2.471
0.000 0.000 34.528
```

Summary:
* symmetry: No. 166

=====

Version S
Here is TcAuSe2 after structural relaxation from Alexandria. Energies are from GGA-PBE.

Geometry as POSCAR:
```
TcAuSe2
1.0
2.964 0.000 0.000
0.000 2.964 0.000
0.000 0.000 9.250
Tc Au Se
1 1 2
Cartesian
0.000 0.000 0.000
1.482 1.482 2.015
0.000 0.000 4.241
1.482 1.482 7.823
```

Summary:
* symmetry: No. 99

=====

Which one sits at the top of the stability order? version S does.

=====

Version P
Here is TcAuSe2 after structural relaxation from Alexandria. Energies are from GGA-PBE.

Geometry as POSCAR:
```
TcAuSe2
1.0
1.501 -2.459 0.000
1.501 2.459 0.000
0.000 0.000 10.865
Tc Au Se
1 1 2
Cartesian
0.000 0.000 0.000
0.000 0.000 5.433
1.501 0.000 2.073
1.501 0.000 8.792
```

Summary:
* symmetry: No. 65

=====

Version Q
Here is TcAuSe2 after structural relaxation from Alexandria. Energies are from GGA-PBE.

Geometry as POSCAR:
```
TcAuSe2
1.0
3.256 0.000 0.000
-1.628 2.820 0.000
0.000 0.000 8.320
Tc Au Se
1 1 2
Cartesian
0.000 0.000 0.000
0.000 1.880 4.090
0.000 1.880 6.696
1.628 0.940 1.819
```

Summary:
* symmetry: No. 156

=====

Version R
Here is TcAuSe2 after structural relaxation from Alexandria. Energies are from GGA-PBE.

Geometry as POSCAR:
```
TcAuSe2
1.0
2.965 0.000 0.000
-1.483 2.568 0.000
0.000 0.000 11.334
Tc Au Se
1 1 2
Cartesian
0.000 0.000 0.000
1.483 0.856 6.097
0.000 0.000 2.491
0.000 1.712 9.613
```

Summary:
* symmetry: No. 156

=====

Which one sits at the top of the stability order? version Q does.

=====

Version P
Here is TcAuSe after structural relaxation from Alexandria. Energies are from GGA-PBE.

Geometry as POSCAR:
```
TcAuSe
1.0
0.000 2.479 7.676
1.504 0.000 7.676
1.504 2.479 0.000
Tc Au Se
1 1 1
Cartesian
0.000 0.000 0.000
1.504 2.479 5.258
1.504 2.479 9.593
```

Summary:
* symmetry: No. 42

=====

Version Q
Here is TcAuSe after structural relaxation from Alexandria. Energies are from GGA-PBE.

Geometry as POSCAR:
```
TcAuSe
1.0
3.060 0.000 0.000
-1.530 2.650 0.000
0.000 0.000 7.019
Tc Au Se
1 1 1
Cartesian
0.000 0.000 0.000
1.530 0.883 2.290
0.000 1.766 5.363
```

Summary:
* symmetry: No. 156

=====

Which one sits at the top of the stability order? version Q does.

=====

Version P
Here is TcAuSe after structural relaxation from Alexandria. Energies are from GGA-PBE.

Geometry as POSCAR:
```
TcAuSe
1.0
4.058 0.000 0.000
-2.029 3.514 0.000
0.000 0.000 3.814
Tc Au Se
1 1 1
Cartesian
0.000 0.000 0.000
2.029 1.171 2.149
0.000 2.343 0.525
```

Summary:
* symmetry: No. 156

=====

Version Q
Here is TcAuSe after structural relaxation from Alexandria. Energies are from GGA-PBE.

Geometry as POSCAR:
```
TcAuSe
1.0
0.000 3.071 3.071
3.071 0.000 3.071
3.071 3.071 0.000
Tc Au Se
1 1 1
Cartesian
0.000 0.000 0.000
4.607 4.607 4.607
1.536 1.536 1.536
```

Summary:
* symmetry: No. 216

=====

Version R
Here is TcAuSe after structural relaxation from Alexandria. Energies are from GGA-PBE.

Geometry as POSCAR:
```
TcAuSe
1.0
-1.494 1.494 6.392
1.494 -1.494 6.392
1.494 1.494 -6.392
Tc Au Se
1 1 1
Cartesian
0.000 0.000 0.000
0.000 0.000 4.441
0.000 0.000 7.808
```

Summary:
* symmetry: No. 107

=====

Which one sits at the top of the stability order? version R does.